# 1
# TiAg3Cl

A relaxed TiAg3Cl crystal (PBEsol, Alexandria).

The structure belongs to space group Pm-3m (No. 221); the cell edges are 4.9986, 4.9986 and 4.9986 Å and the angles 90.00°, 90.00° and 90.00°. The distinct sites, in fractional coordinates, are Ti at (0.0000, 0.0000, 0.0000), Ag at (0.0000, 0.0000, 0.5000) and Cl at (0.5000, 0.5000, 0.5000).

For the total energy, the calculation gives -2.90 eV per atom.


# 2
# TlAgCl2

A relaxed TlAgCl2 crystal (PBEsol, Alexandria).

The structure belongs to space group P4mm (No. 99); the cell edges are 3.7368, 3.7368 and 7.6785 Å and the angles 90.00°, 90.00° and 90.00°. The distinct sites, in fractional coordinates, are Tl at (0.0000, 0.0000, 0.0000), Ag at (0.5000, 0.5000, 0.5223), Cl at (0.0000, 0.0000, 0.5870) and Cl at (0.5000, 0.5000, 0.1873).

For the total energy, the calculation gives -3.07 eV per atom.


# 3
# TlAg2Cl

A relaxed TlAg2Cl crystal (PBEsol, Alexandria).

The structure belongs to space group F-43m (No. 216); the cell edges are 7.0163, 7.0163 and 7.0163 Å and the angles 90.00°, 90.00° and 90.00°. The distinct sites, in fractional coordinates, are Tl at (0.0000, 0.0000, 0.0000), Ag at (0.0000, 0.0000, 0.5000), Ag at (0.2500, 0.2500, 0.2500) and Cl at (0.2500, 0.2500, 0.7500).

As for the relative energy among the computed polymorphs: 236 meV/atom.


# 4
# TlAgCl2

A relaxed TlAgCl2 crystal (PBEsol, Alexandria).

The structure belongs to space group R3m (No. 160, hexagonal axes); the cell edges are 4.0158, 4.0158 and 21.1023 Å and the angles 90.00°, 90.00° and 120.00°. The distinct sites, in fractional coordinates, are Tl at (0.0000, 0.0000, 0.0000), Ag at (0.0000, 0.0000, 0.1671), Cl at (0.0000, 0.0000, 0.5686) and Cl at (0.0000, 0.0000, 0.7669).

For the total energy, the calculation gives -3.12 eV per atom.